1.
Entry from Alexandria via LeMat-Bulk: LiMnAsO5 at its PBEsol-relaxed geometry (meta-GGA SCAN).

As for the total magnetization: 0.0011 μB/atom. For the formation energy without anion corrections, the calculation gives -42.6 kcal/mol of atoms.

It has space group P-1 (No. 2), with a = 5.144 Å, b = 5.371 Å, c = 6.838 Å, α = 105.19°, β = 102.41° and γ = 107.50°. The inequivalent atoms are Li at (0.160, 0.272, 0.209), Mn at (0.500, 0.000, 0.000), Mn at (0.500, 0.000, 0.500), As at (0.193, 0.323, 0.741), O at (0.114, 0.803, 0.474), O at (0.199, 0.637, 0.889), O at (0.203, 0.135, 0.911), O at (0.410, 0.052, 0.247) and O at (0.477, 0.353, 0.644).

2.
Entry from Alexandria via LeMat-Bulk: Sb2PRh at its PBEsol-relaxed geometry (meta-GGA SCAN).

The value obtained for the density of states at the Fermi level is 0.7924 states/eV/atom. As for the total magnetization: 0.0000 μB/atom. For the formation energy without anion corrections, the calculation gives 8.5 kcal/mol of atoms.

It has space group P4/mmm (No. 123), with a = 4.826 Å, b = 4.826 Å, c = 3.190 Å, α = 90.00°, β = 90.00° and γ = 90.00°. The inequivalent atoms are Sb at (0.000, 0.500, 0.000), P at (0.000, 0.000, 0.500) and Rh at (0.500, 0.500, 0.500).